[1]
The following is a PBE-GGA calculation of a relaxed structure of LaScRh2C, from the Alexandria database.

Lattice parameters (Å, degrees): 4.7448 5.7282 4.7448 90.00 90.00 90.00
Positions (direct):
1 Sc 0.0000 0.5000 0.0000
2 Rh 0.5000 0.0000 0.0000
3 Rh 0.0000 0.0000 0.5000
4 La 0.0000 0.0000 0.0000
5 C 0.5000 0.5000 0.5000

Summary:
- SG = P4/mmm, No. 123
- ρ (g/cm3) = 5.2
- size of the total moment (Bohr magnetons per cell) = 0.91
- calculated formation energy (eV/atom) = 2.12

***

[2]
The following is a PBE-GGA calculation of a relaxed structure of PmNd2DyHo, from the Alexandria database.

Lattice parameters (Å, degrees): 6.7570 8.2277 6.2040 90.14 90.00 90.00
Positions (direct):
1 Dy 0.5794 0.0000 0.2500
2 Dy 0.4206 0.0000 0.7500
3 Pm 0.0000 0.0000 0.0000
4 Pm 0.0000 0.0000 0.5000
5 Ho 0.1572 0.5000 0.7500
6 Ho 0.8428 0.5000 0.2500
7 Nd 0.3076 0.6951 0.2510
8 Nd 0.3076 0.3049 0.2490
9 Nd 0.6924 0.6951 0.7510
10 Nd 0.6924 0.3049 0.7490

Summary:
- SG = P2/c, No. 13
- ρ (g/cm3) = 7.3
- size of the total moment (Bohr magnetons per cell) = 0.00
- calculated formation energy (eV/atom) = 0.27